CoCuNi3 (GGA-PBE, relaxed); relative energy among the computed polymorphs = 24.494 kcal/mol of atoms; calculated total energy = -4.64 eV/atom; space-group type = Pm-3m, No. 221; V = 15.134 Å³ per atom
1.0
4.230 0.000 0.000
0.000 4.230 0.000
0.000 0.000 4.230
Co Cu Ni
1 1 3
Direct
0.000 0.000 0.000
0.500 0.500 0.500
0.000 0.000 0.500
0.000 0.500 0.000
0.500 0.000 0.000

---

CoCu2Ni (GGA-PBE, relaxed); calculated total energy = -5.12 eV/atom; space-group type = I4/mmm, No. 139; V = 11.437 Å³ per atom
1.0
-1.772 1.772 3.643
1.772 -1.772 3.643
1.772 1.772 -3.643
Co Cu Ni
1 2 1
Direct
0.000 0.000 0.000
0.250 0.750 0.500
0.750 0.250 0.500
0.500 0.500 0.000

---

Co2Cu2Ni (GGA-PBE, relaxed); calculated total energy = -5.25 eV/atom; space-group type = P4/mbm, No. 127; V = 12.023 Å³ per atom
1.0
6.821 0.000 0.000
0.000 6.821 0.000
0.000 0.000 2.584
Co Cu Ni
4 4 2
Direct
0.118 0.382 0.000
0.382 0.882 0.000
0.618 0.118 0.000
0.882 0.618 0.000
0.179 0.679 0.500
0.321 0.179 0.500
0.679 0.821 0.500
0.821 0.321 0.500
0.000 0.000 0.000
0.500 0.500 0.000

---

CoCu2Ni (GGA-PBE, relaxed); calculated total energy = -5.22 eV/atom; space-group type = P4mm, No. 99; V = 11.405 Å³ per atom
1.0
2.516 0.000 0.000
0.000 2.516 0.000
0.000 0.000 7.206
Co Cu Ni
1 2 1
Direct
0.000 0.000 0.000
0.000 0.000 0.514
0.500 0.500 0.257
0.500 0.500 0.767

---

Co2Cu2Ni7 (GGA-PBE, relaxed); calculated total energy = -5.49 eV/atom; space-group type = C2/m, No. 12; V = 11.704 Å³ per atom
1.0
3.722 -4.175 0.000
3.722 4.175 0.000
-2.147 0.000 4.143
Co Cu Ni
2 2 7
Direct
0.158 0.158 0.480
0.842 0.842 0.520
0.357 0.643 0.500
0.643 0.357 0.500
0.083 0.564 0.805
0.169 0.169 0.985
0.436 0.917 0.195
0.500 0.500 0.000
0.564 0.083 0.805
0.831 0.831 0.015
0.917 0.436 0.195

---

CoCuNi6 (GGA-PBE, relaxed); calculated total energy = -5.72 eV/atom; space-group type = Cmmm, No. 65; V = 10.983 Å³ per atom
1.0
3.527 -4.988 0.000
3.527 4.988 0.000
0.000 0.000 9.987
Co Cu Ni
4 4 24
Direct
0.000 0.000 0.248
0.000 0.000 0.752
0.250 0.750 0.500
0.750 0.250 0.500
0.251 0.749 0.000
0.500 0.500 0.250
0.500 0.500 0.750
0.749 0.251 0.000
0.000 0.000 0.000
0.000 0.000 0.500
0.122 0.374 0.376
0.122 0.374 0.624
0.123 0.372 0.126
0.123 0.372 0.874
0.248 0.752 0.253
0.248 0.752 0.747
0.372 0.123 0.126
0.372 0.123 0.874
0.374 0.122 0.376
0.374 0.122 0.624
0.500 0.500 0.000
0.500 0.500 0.500
0.626 0.878 0.376
0.626 0.878 0.624
0.628 0.877 0.126
0.628 0.877 0.874
0.752 0.248 0.253
0.752 0.248 0.747
0.877 0.628 0.126
0.877 0.628 0.874
0.878 0.626 0.376
0.878 0.626 0.624

---

Q: Which formula does entry 6 have?
A: CoCuNi6

---

Q: Which of these has the lowest calculated total energy?
A: CoCuNi6

---

Q: Which value of calculated total energy does entry 6 give?
A: -5.72 eV/atom